Entry 1:
# Mg2CuP

A relaxed Mg2CuP crystal (PBE-GGA, the Alexandria database).

For the total energy, the calculation gives -3.137 eV/atom. The formation energy is 36 meV per atom.

Unit cell a=8.5844 b=8.5844 c=8.5844 alpha=20.36 beta=20.36 gamma=20.36
Positions (direct):
Mg (0.2492, 0.2492, 0.2492)
Mg (0.7508, 0.7508, 0.7508)
Cu (0.5000, 0.5000, 0.5000)
P (0.0000, 0.0000, 0.0000)

=====

Entry 2:
# BaCrCo3

A relaxed BaCrCo3 crystal (PBE-GGA, the Alexandria database).

For the total energy, the calculation gives -5.722 eV/atom. The formation energy is 851 meV per atom.

Unit cell a=4.4467 b=4.4467 c=4.4467 alpha=90.00 beta=90.00 gamma=90.00
Positions (direct):
Ba (0.0000, 0.0000, 0.0000)
Cr (0.5000, 0.5000, 0.5000)
Co (0.0000, 0.5000, 0.5000)
Co (0.5000, 0.0000, 0.5000)
Co (0.5000, 0.5000, 0.0000)

=====

Entry 3:
# LaPrNdTm3

A relaxed LaPrNdTm3 crystal (PBE-GGA, the Alexandria database).

For the total energy, the calculation gives -4.538 eV/atom. The formation energy is 111 meV per atom.

Unit cell a=6.4712 b=6.4712 c=11.7946 alpha=90.00 beta=90.00 gamma=125.89
Positions (direct):
La (0.0114, 0.9886, 0.7500)
La (0.9886, 0.0114, 0.2500)
Pr (0.3224, 0.6776, 0.7500)
Pr (0.6776, 0.3224, 0.2500)
Nd (0.5000, 0.5000, 0.0000)
Nd (0.5000, 0.5000, 0.5000)
Tm (0.1735, 0.8265, 0.0085)
Tm (0.1735, 0.8265, 0.4915)
Tm (0.3340, 0.6660, 0.2500)
Tm (0.6660, 0.3340, 0.7500)
Tm (0.8265, 0.1735, 0.5085)
Tm (0.8265, 0.1735, 0.9915)

=====

Entry 4:
# LaCuBRu2

A relaxed LaCuBRu2 crystal (PBE-GGA, the Alexandria database).

For the total energy, the calculation gives -4.657 eV/atom. The formation energy is 2193 meV per atom.

Unit cell a=4.8080 b=4.8080 c=4.6338 alpha=90.00 beta=90.00 gamma=90.00
Positions (direct):
La (0.0000, 0.0000, 0.0000)
Cu (0.5000, 0.5000, 0.5000)
B (0.0000, 0.0000, 0.5000)
Ru (0.0000, 0.5000, 0.0000)
Ru (0.5000, 0.0000, 0.0000)

=====

Entry 5:
# Be2ZnCl

A relaxed Be2ZnCl crystal (PBE-GGA, the Alexandria database).

For the total energy, the calculation gives -2.176 eV/atom. The uncorrected formation energy is 0.467 eV per atom.

Unit cell a=4.9134 b=4.9134 c=4.9134 alpha=146.66 beta=110.14 gamma=79.64
Positions (direct):
Be (0.2416, 0.2416, 0.0000)
Be (0.7584, 0.7584, 0.0000)
Zn (0.5000, 0.0000, 0.5000)
Cl (0.0000, 0.5000, 0.5000)

=====

Entry 6:
# Nd3TlRh

A relaxed Nd3TlRh crystal (PBE-GGA, the Alexandria database).

For the total energy, the calculation gives -5.203 eV/atom. The formation energy is -399 meV per atom.

Unit cell a=9.0777 b=9.0777 c=4.0297 alpha=90.00 beta=90.00 gamma=109.85
Positions (direct):
Nd (0.1785, 0.4177, 0.5000)
Nd (0.1806, 0.8194, 0.0000)
Nd (0.4177, 0.1785, 0.5000)
Nd (0.5823, 0.8215, 0.5000)
Nd (0.8194, 0.1806, 0.0000)
Nd (0.8215, 0.5823, 0.5000)
Tl (0.0000, 0.0000, 0.5000)
Tl (0.5000, 0.5000, 0.0000)
Rh (0.0000, 0.5000, 0.0000)
Rh (0.5000, 0.0000, 0.0000)